1.
A plane-wave DFT calculation with PBE was carried out for a relaxed structure of Er4InSbTe2.

Values from the calculation:
Formation energy from raw total energies in eV per atom: -0.99
Crystal system: monoclinic

a = 4.2579 Å, b = 7.5938 Å, c = 7.6025 Å
α = 108.58°, β = 90.00°, γ = 90.00°
Atoms (fractional coordinates):
Te 0.0000 0.5000 0.5000
Te 0.5000 0.0000 0.5000
Er 0.0000 0.7462 0.2411
Er 0.5000 0.2498 0.2366
Er 0.5000 0.7502 0.7634
Er 0.0000 0.2538 0.7589
Sb 0.0000 0.0000 0.0000
In 0.5000 0.5000 0.0000


2.
A plane-wave DFT calculation with PBE was carried out for a relaxed structure of BaVN2.

Values from the calculation:
Formation energy from raw total energies in eV per atom: 0.82
Crystal system: cubic

a = 4.3736 Å, b = 4.3736 Å, c = 4.3736 Å
α = 60.00°, β = 60.00°, γ = 60.00°
Each line ends with the local moment (μB).
Atoms (fractional coordinates):
N 0.7500 0.7500 0.7500  -0.60
N 0.2500 0.2500 0.2500  -0.60
V 0.0000 0.0000 0.0000  2.31
Ba 0.5000 0.5000 0.5000  0.04


3.
A plane-wave DFT calculation with PBE was carried out for a relaxed structure of ReO2F.

Values from the calculation:
Polymorph energy (0 for the lowest one) in eV/atom: 0.0000
Formation energy from raw total energies in eV per atom: -1.45
Crystal system: orthorhombic

a = 4.9939 Å, b = 5.5011 Å, c = 8.7931 Å
α = 90.00°, β = 90.00°, γ = 90.00°
Atoms (fractional coordinates):
O 0.1948 0.0552 0.4368
O 0.6948 0.9448 0.9369
O 0.1948 0.5552 0.5631
O 0.3052 0.5552 0.9368
O 0.8052 0.9448 0.5632
O 0.3052 0.0552 0.0631
O 0.6948 0.4448 0.0632
O 0.8052 0.4448 0.4369
Re 0.5000 0.2500 0.9259
Re 0.0000 0.7500 0.4259
Re 0.0000 0.2500 0.5741
Re 0.5000 0.7500 0.0741
F 0.2501 0.1352 0.7500
F 0.7499 0.8648 0.2500
F 0.7501 0.3648 0.7500
F 0.2499 0.6352 0.2500


4.
A plane-wave DFT calculation with PBE was carried out for a relaxed structure of Hf2InTe.

Values from the calculation:
Polymorph energy (0 for the lowest one) in eV/atom: 0.1077
Formation energy from raw total energies in eV per atom: -0.06
Crystal system: cubic

a = 5.0184 Å, b = 5.0184 Å, c = 5.0184 Å
α = 60.00°, β = 60.00°, γ = 60.00°
Atoms (fractional coordinates):
Te 0.5000 0.5000 0.5000
Hf 0.7500 0.7500 0.7500
Hf 0.2500 0.2500 0.2500
In 0.0000 0.0000 0.0000


5.
A plane-wave DFT calculation with PBE was carried out for a relaxed structure of Ac2Pm3Cd4.

Values from the calculation:
Crystal system: orthorhombic
Final energy in eV/atom: -3.078

a = 7.0783 Å, b = 8.6732 Å, c = 10.1226 Å
α = 90.00°, β = 110.46°, γ = 90.00°
Atoms (fractional coordinates):
Cd 0.3230 0.2500 0.1461
Cd 0.8350 0.0111 0.6700
Cd 0.8230 0.2500 0.1461
Cd 0.6770 0.7500 0.8539
Cd 0.6650 0.5111 0.3300
Cd 0.1770 0.7500 0.8539
Cd 0.3350 0.4889 0.6700
Cd 0.1650 0.9889 0.3300
Ac 0.4045 0.0956 0.8089
Ac 0.9045 0.4044 0.8089
Ac 0.0955 0.5956 0.1911
Ac 0.5955 0.9044 0.1911
Pm 0.0063 0.7500 0.5126
Pm 0.5000 0.5000 0.0000
Pm 0.9937 0.2500 0.4874
Pm 0.4937 0.2500 0.4874
Pm 0.5063 0.7500 0.5126
Pm 0.0000 0.0000 0.0000


6.
A plane-wave DFT calculation with PBE was carried out for a relaxed structure of MgTaP2Ir.

Values from the calculation:
Crystal system: tetragonal
Final energy in eV/atom: -5.287

a = 4.5384 Å, b = 4.4528 Å, c = 4.5384 Å
α = 90.00°, β = 90.00°, γ = 90.00°
Atoms (fractional coordinates):
P 0.5000 0.0000 0.0000
P 0.0000 0.0000 0.5000
Mg 0.0000 0.0000 0.0000
Ir 0.0000 0.5000 0.0000
Ta 0.5000 0.5000 0.5000


7.
A plane-wave DFT calculation with PBE was carried out for a relaxed structure of Ba2HgGe3Au4.

Values from the calculation:
Crystal system: tetragonal
Final energy in eV/atom: -3.585

a = 4.7837 Å, b = 4.7837 Å, c = 10.7056 Å
α = 90.00°, β = 90.00°, γ = 90.00°
Atoms (fractional coordinates):
Au 0.5000 0.0000 0.6403
Au 0.5000 0.5000 0.0000
Au 0.0000 0.5000 0.3597
Au 0.0000 0.0000 0.0000
Ge 0.0000 0.0000 0.5000
Ge 0.5000 0.0000 0.8821
Ge 0.0000 0.5000 0.1179
Hg 0.5000 0.5000 0.5000
Ba 0.0000 0.5000 0.7537
Ba 0.5000 0.0000 0.2463


8.
A plane-wave DFT calculation with PBE was carried out for a relaxed structure of NaLiFeRh2.

Values from the calculation:
Crystal system: tetragonal
Final energy in eV/atom: -4.248

a = 4.2714 Å, b = 4.2714 Å, c = 3.9123 Å
α = 90.00°, β = 90.00°, γ = 90.00°
Each line ends with the local moment (μB).
Atoms (fractional coordinates):
Na 0.0000 0.0000 0.5000  0.00
Fe 0.5000 0.5000 0.5000  0.27
Rh 0.5000 0.0000 0.0000  -0.07
Rh 0.0000 0.5000 0.0000  -0.07
Li 0.0000 0.0000 0.0000  -0.01


9.
A plane-wave DFT calculation with PBE was carried out for a relaxed structure of AcEr5.

Values from the calculation:
Polymorph energy (0 for the lowest one) in eV/atom: 0.0000
Crystal system: monoclinic

a = 5.0569 Å, b = 6.2042 Å, c = 7.1756 Å
α = 106.33°, β = 90.00°, γ = 114.05°
Atoms (fractional coordinates):
Er 0.6345 0.2689 0.3816
Er 0.3056 0.6111 0.2222
Er 0.9721 0.9442 0.5488
Er 0.9767 0.9533 0.0628
Er 0.6390 0.2780 0.8957
Ac 0.3056 0.6111 0.7222


10.
A plane-wave DFT calculation with PBE was carried out for a relaxed structure of Sc2SiPb2.

Values from the calculation:
Formation energy from raw total energies in eV per atom: -0.29
Crystal system: tetragonal

a = 7.1602 Å, b = 7.1602 Å, c = 4.6977 Å
α = 90.00°, β = 90.00°, γ = 90.00°
Atoms (fractional coordinates):
Sc 0.3340 0.8340 0.0000
Sc 0.8340 0.6660 0.0000
Sc 0.6660 0.1659 0.0000
Sc 0.1659 0.3340 0.0000
Si 0.5000 0.5000 0.0000
Si 0.0000 0.0000 0.0000
Pb 0.6543 0.8457 0.5000
Pb 0.3457 0.1543 0.5000
Pb 0.8457 0.3457 0.5000
Pb 0.1543 0.6543 0.5000


11.
A plane-wave DFT calculation with PBE was carried out for a relaxed structure of Tl2InSn2.

Values from the calculation:
Polymorph energy (0 for the lowest one) in eV/atom: 0.0000
Crystal system: triclinic

a = 5.6044 Å, b = 6.4554 Å, c = 9.1567 Å
α = 74.09°, β = 95.44°, γ = 69.51°
Atoms (fractional coordinates):
Sn 0.5451 0.9364 0.8499
Sn 0.3536 0.2733 0.4192
Sn 0.6464 0.7267 0.5808
Sn 0.4549 0.0636 0.1501
In 0.2609 0.4855 0.7135
In 0.7391 0.5145 0.2865
Tl 0.8256 0.3255 0.9689
Tl 0.9440 0.1147 0.6525
Tl 0.0560 0.8853 0.3475
Tl 0.1744 0.6745 0.0311


12.
A plane-wave DFT calculation with PBE was carried out for a relaxed structure of Y2Pd2Pt.

Values from the calculation:
Polymorph energy (0 for the lowest one) in eV/atom: 0.0142
Crystal system: monoclinic

a = 4.4158 Å, b = 4.4158 Å, c = 7.0172 Å
α = 90.11°, β = 108.33°, γ = 119.82°
Atoms (fractional coordinates):
Pd 0.7101 0.8548 0.5648
Pd 0.2899 0.1452 0.4352
Y 0.8148 0.4080 0.2228
Y 0.1852 0.5920 0.7772
Pt 0.0000 0.0000 0.0000